VASP calculation (PBE) on crystalline ScVOs at its relaxed geometry.

a = 2.9365 Å, b = 4.3228 Å, c = 4.3228 Å
α = 120.00°, β = 90.00°, γ = 90.00°
With the nearest neighbours (Å) after each atom.
Positions (direct):
Os: 0.7040 0.3333 0.6667  3 V 2.60, 3 Sc 2.72
Sc: 0.3386 0.6667 0.3333  3 Os 2.72, 3 V 2.74, 2 Sc 2.94
V: 0.9574 0.0000 0.0000  3 Os 2.60, 3 Sc 2.74

Output
**E**: -27.2 eV per formula unit
**Calculated density**: 9.998 g cm⁻³
**Formation enthalpy at 0 K**: -0.16 eV per atom

***

VASP calculation (PBE) on crystalline ScV4Os5 at its relaxed geometry.

a = 3.0405 Å, b = 3.0405 Å, c = 15.5246 Å
α = 90.00°, β = 90.00°, γ = 90.00°
With the nearest neighbours (Å) after each atom.
Positions (direct):
Os: 0.5000 0.5000 0.1146  4 V 2.57, 4 Sc 2.79
Os: 0.5000 0.5000 0.5000  8 V 2.63
Os: 0.5000 0.5000 0.3085  8 V 2.60-2.68
Os: 0.5000 0.5000 0.8854  4 V 2.57, 4 Sc 2.79
Os: 0.5000 0.5000 0.6915  8 V 2.60-2.68
V: 0.0000 0.0000 0.7942  8 Os 2.57-2.68
V: 0.0000 0.0000 0.2058  8 Os 2.57-2.68
V: 0.0000 0.0000 0.4022  8 Os 2.60-2.63
V: 0.0000 0.0000 0.5978  8 Os 2.60-2.63
Sc: 0.0000 0.0000 0.0000  8 Os 2.79, 4 Sc 3.04

Output
**E**: -101.9 eV per formula unit
**Calculated density**: 13.883 g cm⁻³
**Formation enthalpy at 0 K**: -0.30 eV per atom

***

VASP calculation (PBE) on crystalline Sc2VOs2 at its relaxed geometry.

a = 6.4236 Å, b = 6.4236 Å, c = 4.3583 Å
α = 90.00°, β = 90.00°, γ = 90.00°
With the nearest neighbours (Å) after each atom.
Positions (direct):
Sc: 0.6773 0.8227 0.5000  6 Os 2.76-2.98
Sc: 0.3227 0.1773 0.5000  6 Os 2.76-2.98
Sc: 0.1773 0.6773 0.5000  6 Os 2.76-2.98
Sc: 0.8227 0.3227 0.5000  6 Os 2.76-2.98
V: 0.5000 0.5000 0.0000  4 Os 2.49
V: 0.0000 0.0000 0.0000  4 Os 2.49
Os: 0.1364 0.3636 0.0000  1 Os 2.48, 2 V 2.49, 2 Sc 2.76
Os: 0.3636 0.8636 0.0000  1 Os 2.48, 2 V 2.49, 2 Sc 2.76
Os: 0.8636 0.6364 0.0000  1 Os 2.48, 2 V 2.49, 2 Sc 2.76
Os: 0.6364 0.1364 0.0000  1 Os 2.48, 2 V 2.49, 2 Sc 2.76

Output
**E**: -45.3 eV per formula unit
**Calculated density**: 9.627 g cm⁻³
**Formation enthalpy at 0 K**: -0.21 eV per atom

***

VASP calculation (PBE) on crystalline ScV3Os at its relaxed geometry.

a = 4.2751 Å, b = 4.2751 Å, c = 4.2751 Å
α = 90.00°, β = 90.00°, γ = 90.00°
With the nearest neighbours (Å) after each atom.
Positions (direct):
V: 0.5000 0.0000 0.0000  2 Sc 2.14
V: 0.0000 0.0000 0.5000  2 Sc 2.14
V: 0.0000 0.5000 0.0000  2 Sc 2.14
Sc: 0.0000 0.0000 0.0000  6 V 2.14
Os: 0.5000 0.5000 0.5000  12 V 3.02

Output
**E**: -36.0 eV per formula unit
**Calculated density**: 8.246 g cm⁻³
**Formation enthalpy at 0 K**: 1.77 eV per atom

***

Please write out number 2 again, unchanged.
VASP calculation (PBE) on crystalline ScV4Os5 at its relaxed geometry.

a = 3.0405 Å, b = 3.0405 Å, c = 15.5246 Å
α = 90.00°, β = 90.00°, γ = 90.00°
With the nearest neighbours (Å) after each atom.
Positions (direct):
Os: 0.5000 0.5000 0.1146  4 V 2.57, 4 Sc 2.79
Os: 0.5000 0.5000 0.5000  8 V 2.63
Os: 0.5000 0.5000 0.3085  8 V 2.60-2.68
Os: 0.5000 0.5000 0.8854  4 V 2.57, 4 Sc 2.79
Os: 0.5000 0.5000 0.6915  8 V 2.60-2.68
V: 0.0000 0.0000 0.7942  8 Os 2.57-2.68
V: 0.0000 0.0000 0.2058  8 Os 2.57-2.68
V: 0.0000 0.0000 0.4022  8 Os 2.60-2.63
V: 0.0000 0.0000 0.5978  8 Os 2.60-2.63
Sc: 0.0000 0.0000 0.0000  8 Os 2.79, 4 Sc 3.04

Output
**E**: -101.9 eV per formula unit
**Calculated density**: 13.883 g cm⁻³
**Formation enthalpy at 0 K**: -0.30 eV per atom